This record from Alexandria via LeMat-Bulk describes a relaxed structure of MnGaI3. The functional is GGA-PBE.

POSCAR file:
```
MnGaI3
1.0
8.0897 -0.5723 -2.1232
-4.1638 6.4339 0.2771
-3.5720 2.1598 9.4036
Mn Ga I
2 2 6
Direct
0.2219 0.2575 0.9097
0.7781 0.7425 0.0903
0.3245 0.8153 0.5745
0.6755 0.1847 0.4255
0.2003 0.3479 0.6035
0.6536 0.3048 0.0901
0.1494 0.1469 0.1824
0.7997 0.6521 0.3965
0.8506 0.8531 0.8176
0.3464 0.6952 0.9099
```

Calculated values
* calculated total energy: -3.723 eV per atom
* magnetization: 10.0 μB/cell
* energy above the lowest structure with this stoichiometry: 0.0000 eV per atom
* space group: P-1 (2)
* formation energy without anion corrections: -0.35 eV per atom

---

This record from Alexandria via LeMat-Bulk describes a relaxed structure of Ce4PrTh3S8. The functional is GGA-PBE.

POSCAR file:
```
Ce4PrTh3S8
1.0
-6.2696 4.7214 1.9211
-3.7661 -6.3423 3.2963
7.4463 1.9862 2.4271
Ce Pr Th S
4 1 3 8
Direct
0.5000 0.0000 0.0000
0.5000 0.0000 0.5000
0.0000 0.0000 0.0000
0.0000 0.0000 0.5000
0.0000 0.5000 0.0000
0.5000 0.5000 0.0000
0.5000 0.5000 0.5000
0.0000 0.5000 0.5000
0.2517 0.7531 0.0014
0.2517 0.7531 0.5035
0.2492 0.2475 0.4984
0.7496 0.7531 0.0014
0.2504 0.2469 0.9986
0.7508 0.7525 0.5016
0.7483 0.2469 0.4965
0.7483 0.2469 0.9986
```

Calculated values
* calculated total energy: -7.207 eV per atom
* magnetization: 2.9 μB/cell
* space group: R-3m (166)
* formation energy without anion corrections: -1.97 eV per atom

---

This record from Alexandria via LeMat-Bulk describes a relaxed structure of TlNi2Ir. The functional is GGA-PBE.

POSCAR file:
```
TlNi2Ir
1.0
-1.0942 -4.9065 1.0565
3.9370 -3.1933 0.8309
-2.4036 4.2787 1.5176
Ir Ni Tl
1 2 1
Direct
0.2368 0.7368 0.5000
0.9872 0.9872 0.0000
0.7652 0.2652 0.5000
0.5109 0.5109 0.0000
```

Calculated values
* calculated total energy: -5.347 eV per atom
* magnetization: 0.0 μB/cell
* energy above the lowest structure with this stoichiometry: 0.0561 eV per atom
* space group: Imm2 (44)
* energy of formation from the pure elements: 351 meV/atom

---

This record from Alexandria via LeMat-Bulk describes a relaxed structure of K3Tl2In4. The functional is GGA-PBE.

POSCAR file:
```
K3Tl2In4
1.0
5.3581 0.0030 -0.0367
2.6786 6.5159 0.0269
2.6079 2.5843 9.3947
K Tl In
3 2 4
Direct
0.6148 0.1300 0.6428
0.0000 0.0000 0.0000
0.3852 0.8700 0.3572
0.7075 0.3185 0.2611
0.2925 0.6815 0.7389
0.2931 0.3619 0.0526
0.9190 0.5168 0.6482
0.0810 0.4832 0.3518
0.7069 0.6381 0.9474
```

Calculated values
* calculated total energy: -2.184 eV per atom
* magnetization: 0.0 μB/cell
* energy above the lowest structure with this stoichiometry: 0.0282 eV per atom
* space group: P-1 (2)
* energy of formation from the pure elements: -75 meV/atom

---

This record from Alexandria via LeMat-Bulk describes a relaxed structure of LaTaTiO6. The functional is GGA-PBE.

POSCAR file:
```
LaTaTiO6
1.0
-4.5575 5.3029 1.7335
-6.2322 -3.4499 1.0743
-1.0226 -0.1960 5.2006
La Ta Ti O
2 2 2 12
Direct
0.1935 0.8065 0.5000
0.8059 0.1941 0.0000
0.3474 0.1844 0.7025
0.8156 0.6526 0.2975
0.6534 0.8184 0.7955
0.1816 0.3466 0.2045
0.1115 0.5972 0.2815
0.4028 0.8885 0.7185
0.8878 0.3950 0.2235
0.6050 0.1122 0.7765
0.9020 0.8161 0.8948
0.1839 0.0980 0.1052
0.0979 0.1824 0.6044
0.8176 0.9021 0.3956
0.5604 0.7234 0.2028
0.2766 0.4396 0.7972
0.4370 0.2802 0.2918
0.7198 0.5630 0.7082
```

Calculated values
* calculated total energy: -9.228 eV per atom
* magnetization: 0.0 μB/cell
* energy above the lowest structure with this stoichiometry: 0.0099 eV per atom
* space group: C2 (5)
* formation energy without anion corrections: -3.18 eV per atom

---

This record from Alexandria via LeMat-Bulk describes a relaxed structure of Mg2CuNiH. The functional is GGA-PBE.

POSCAR file:
```
Mg2CuNiH
1.0
4.4370 0.0000 0.0000
0.0000 4.4370 0.0000
0.0000 0.0000 3.1884
Ni Mg Cu H
1 2 1 1
Direct
0.0000 0.0000 0.5000
0.0000 0.5000 0.0000
0.5000 0.0000 0.0000
0.5000 0.5000 0.5000
0.0000 0.0000 0.0000
```

Calculated values
* calculated total energy: -3.433 eV per atom
* magnetization: 0.0 μB/cell
* energy above the lowest structure with this stoichiometry: 0.0000 eV per atom
* space group: P4/mmm (123)

---

This record from Alexandria via LeMat-Bulk describes a relaxed structure of Ac5Ce2Ge5. The functional is GGA-PBE.

POSCAR file:
```
Ac5Ce2Ge5
1.0
-0.8391 -4.3902 0.2429
6.8826 1.1531 3.3729
-9.1337 2.2447 9.0196
Ac Ce Ge
5 2 5
Direct
0.5000 0.0000 0.5000
0.6590 0.3181 0.0488
0.7406 0.4812 0.3540
0.2594 0.5188 0.6460
0.3410 0.6819 0.9512
0.0426 0.0853 0.7897
0.9574 0.9147 0.2103
0.1121 0.2242 0.4132
0.6822 0.3643 0.7964
0.3178 0.6357 0.2036
0.8879 0.7758 0.5868
0.0000 0.0000 0.0000
```

Calculated values
* calculated total energy: -5.182 eV per atom
* magnetization: 2.7 μB/cell
* space group: C2/m (12)
* energy of formation from the pure elements: -557 meV/atom

---

This record from Alexandria via LeMat-Bulk describes a relaxed structure of LiBe3As. The functional is GGA-PBE.

POSCAR file:
```
LiBe3As
1.0
-3.2894 1.8936 2.1161
-2.7930 -2.7418 -1.8881
0.5124 -2.7893 3.2925
Be As Li
3 1 1
Direct
0.0000 0.5000 0.0000
0.0000 0.0000 0.5000
0.5000 0.0000 0.0000
0.0000 0.0000 0.0000
0.5000 0.5000 0.5000
```

Calculated values
* calculated total energy: -2.700 eV per atom
* magnetization: 0.0 μB/cell
* energy above the lowest structure with this stoichiometry: 0.0000 eV per atom
* space group: Pm-3m (221)
* energy of formation from the pure elements: 848 meV/atom

---

This record from Alexandria via LeMat-Bulk describes a relaxed structure of TcPbS2Cl. The functional is GGA-PBE.

POSCAR file:
```
TcPbS2Cl
1.0
4.6800 0.0000 0.0000
0.0000 4.6800 0.0000
0.0000 0.0000 4.9735
Pb S Tc Cl
1 2 1 1
Direct
0.5000 0.5000 0.5000
0.0000 0.5000 0.0000
0.5000 0.0000 0.0000
0.0000 0.0000 0.0000
0.0000 0.0000 0.5000
```

Calculated values
* calculated total energy: -4.981 eV per atom
* magnetization: 0.9 μB/cell
* energy above the lowest structure with this stoichiometry: 0.0000 eV per atom
* space group: P4/mmm (123)
* formation energy without anion corrections: -0.15 eV per atom

---

This record from Alexandria via LeMat-Bulk describes a relaxed structure of Ca4AgAs. The functional is GGA-PBE.

POSCAR file:
```
Ca4AgAs
1.0
0.0000 4.5930 4.5930
4.5930 0.0000 4.5930
4.5930 4.5930 0.0000
Ca Ag As
4 1 1
Direct
0.8780 0.3740 0.3740
0.3740 0.3740 0.8780
0.3740 0.8780 0.3740
0.3740 0.3740 0.3740
0.7500 0.7500 0.7500
0.0000 0.0000 0.0000
```

Calculated values
* calculated total energy: -2.286 eV per atom
* magnetization: 0.0 μB/cell
* space group: F-43m (216)
* energy of formation from the pure elements: 299 meV/atom

---

This record from Alexandria via LeMat-Bulk describes a relaxed structure of As2IrAu. The functional is GGA-PBE.

POSCAR file:
```
As2IrAu
1.0
-1.1042 0.4277 -2.8005
0.3659 -2.9279 -0.5914
-7.3655 -1.4568 2.6815
As Ir Au
2 1 1
Direct
0.0000 0.2500 0.9529
0.0000 0.2500 0.5471
0.5000 0.7500 0.7500
0.5000 0.2500 0.2500
```

Calculated values
* calculated total energy: -5.233 eV per atom
* magnetization: 0.0 μB/cell
* energy above the lowest structure with this stoichiometry: 0.1780 eV per atom
* space group: Pmmm (47)
* energy of formation from the pure elements: 126 meV/atom

---

This record from Alexandria via LeMat-Bulk describes a relaxed structure of Na2YPt. The functional is GGA-PBE.

POSCAR file:
```
Na2YPt
1.0
4.0867 0.0000 0.0000
0.0000 4.0867 0.0000
2.0434 2.0434 11.9382
Y Na Pt
2 4 2
Direct
0.5000 0.5000 0.0000
0.2500 0.7500 0.5000
0.6554 0.1250 0.2500
0.0946 0.6250 0.2500
0.3750 0.3446 0.7500
0.8750 0.9054 0.7500
0.0000 0.0000 0.0000
0.7500 0.2500 0.5000
```

Calculated values
* calculated total energy: -4.032 eV per atom
* magnetization: 0.0 μB/cell
* energy above the lowest structure with this stoichiometry: 0.0000 eV per atom
* space group: I-42d (122)
* energy of formation from the pure elements: -246 meV/atom

---

Number 1: mass density 3.9 g cm⁻³. Number 2: mass density 7.4 g cm⁻³. Number 3: mass density 14.7 g cm⁻³. Number 4: mass density 5.0 g cm⁻³. Number 5: mass density 6.3 g cm⁻³. Number 6: mass density 4.5 g cm⁻³. Number 7: mass density 7.2 g cm⁻³. Number 8: mass density 2.2 g cm⁻³. Number 9: mass density 6.2 g cm⁻³. Number 10: mass density 2.9 g cm⁻³. Number 11: mass density 12.3 g cm⁻³. Number 12: mass density 5.5 g cm⁻³.